Computed, not measured: a relaxed PrNd2PaSe3O4 crystal at the PBE-GGA level of DFT.

The calculated total energy is -7.448 eV per atom.

The structure belongs to space group Amm2 (No. 38); the cell edges are 8.681, 3.972 and 12.637 Å and the angles 90.00°, 90.00° and 90.00°. The asymmetric unit holds Pr at (0.000, 0.000, 0.000), Nd at (0.255, 0.000, 0.680), Pa at (0.500, 0.000, 0.989), Se at (0.171, 0.000, 0.356), Se at (0.500, 0.000, 0.298), O at (0.000, 0.000, 0.612), O at (0.265, 0.000, 0.075) and O at (0.500, 0.000, 0.575).



Computed, not measured: a relaxed Cu7Ag3 crystal at the PBE-GGA level of DFT.

As for the energy of formation: 0.0667 eV per atom. The calculation puts the energy above the most stable polymorph in this dataset at 2.12 kJ per mole of atoms.

The structure belongs to space group Pmm2 (No. 25); the cell edges are 2.764, 3.438 and 14.418 Å and the angles 90.00°, 90.00° and 90.00°. The asymmetric unit holds Cu at (0.000, 0.000, 0.000), Cu at (0.000, 0.000, 0.176), Cu at (0.000, 0.000, 0.354), Cu at (0.000, 0.000, 0.786), Cu at (0.500, 0.500, 0.087), Cu at (0.500, 0.500, 0.265), Cu at (0.500, 0.500, 0.441), Ag at (0.000, 0.000, 0.550), Ag at (0.500, 0.500, 0.679) and Ag at (0.500, 0.500, 0.892).



Table of volume (A^3/atom), in record order: 19.8 13.7